No. 1
Computed, not measured: a relaxed structure of Co4Cu at the PBE level of DFT.

Results
As for the formation energy: 1.462 eV/atom. The value obtained for the total energy is -5.04 eV per atom.

The structure in CIF format:
```
data_Co4Cu
_symmetry_space_group_name_H-M 'P 1'
_symmetry_Int_Tables_number 1
_cell_length_a 4.237
_cell_length_b 4.237
_cell_length_c 4.237
_cell_angle_alpha 90.00
_cell_angle_beta 90.00
_cell_angle_gamma 90.00
loop_
_symmetry_equiv_pos_as_xyz
'x,y,z'
loop_
_atom_site_label
_atom_site_fract_x
_atom_site_fract_y
_atom_site_fract_z
_atom_site_occupancy
Co1 0.000 0.000 0.000 1
Co2 0.000 0.500 0.500 1
Co3 0.500 0.000 0.500 1
Co4 0.500 0.500 0.000 1
Cu1 0.500 0.500 0.500 1
```

***

No. 2
Computed, not measured: a relaxed structure of SrTeSe at the PBE level of DFT.

Results
The value obtained for the total energy is -3.52 eV per atom.

The structure in CIF format:
```
data_SrTeSe
_symmetry_space_group_name_H-M 'P 1'
_symmetry_Int_Tables_number 1
_cell_length_a 5.122
_cell_length_b 5.122
_cell_length_c 4.334
_cell_angle_alpha 90.00
_cell_angle_beta 90.00
_cell_angle_gamma 120.00
loop_
_symmetry_equiv_pos_as_xyz
'x,y,z'
loop_
_atom_site_label
_atom_site_fract_x
_atom_site_fract_y
_atom_site_fract_z
_atom_site_occupancy
Sr1 0.000 0.000 0.000 1
Te1 0.667 0.333 0.500 1
Se1 0.333 0.667 0.000 1
```

***

No. 3
Computed, not measured: a relaxed structure of NaCrGa2Si at the PBE level of DFT.

Results
The value obtained for the total energy is -3.64 eV per atom.

The structure in CIF format:
```
data_NaCrGa2Si
_symmetry_space_group_name_H-M 'P 1'
_symmetry_Int_Tables_number 1
_cell_length_a 4.814
_cell_length_b 4.814
_cell_length_c 5.232
_cell_angle_alpha 90.00
_cell_angle_beta 90.00
_cell_angle_gamma 90.00
loop_
_symmetry_equiv_pos_as_xyz
'x,y,z'
loop_
_atom_site_label
_atom_site_fract_x
_atom_site_fract_y
_atom_site_fract_z
_atom_site_occupancy
Na1 0.000 0.000 0.000 1
Cr1 0.000 0.000 0.500 1
Ga1 0.000 0.500 0.500 1
Ga2 0.500 0.000 0.500 1
Si1 0.500 0.500 0.000 1
```

***

No. 4
Computed, not measured: a relaxed structure of Li6Tl2Au at the PBE level of DFT.

Results
As for the formation energy: -0.281 eV/atom. The value obtained for the total energy is -2.45 eV per atom.

The structure in CIF format:
```
data_Li6Tl2Au
_symmetry_space_group_name_H-M 'P 1'
_symmetry_Int_Tables_number 1
_cell_length_a 8.703
_cell_length_b 8.718
_cell_length_c 4.361
_cell_angle_alpha 90.00
_cell_angle_beta 90.00
_cell_angle_gamma 90.00
loop_
_symmetry_equiv_pos_as_xyz
'x,y,z'
loop_
_atom_site_label
_atom_site_fract_x
_atom_site_fract_y
_atom_site_fract_z
_atom_site_occupancy
Li1 0.012 0.178 0.000 1
Li2 0.143 0.635 0.500 1
Li3 0.177 0.978 0.500 1
Li4 0.323 0.478 0.000 1
Li5 0.357 0.135 0.000 1
Li6 0.488 0.678 0.500 1
Li7 0.512 0.322 0.500 1
Li8 0.643 0.865 0.000 1
Li9 0.677 0.522 0.000 1
Li10 0.823 0.022 0.500 1
Li11 0.857 0.365 0.500 1
Li12 0.988 0.822 0.000 1
Tl1 0.181 0.310 0.500 1
Tl2 0.319 0.810 0.000 1
Tl3 0.681 0.190 0.000 1
Tl4 0.819 0.690 0.500 1
Au1 0.000 0.500 0.000 1
Au2 0.500 0.000 0.500 1
```

***

No. 5
Computed, not measured: a relaxed structure of Ac2TmSe3 at the PBE level of DFT.

Results
The value obtained for the total energy is -5.63 eV per atom.

The structure in CIF format:
```
data_Ac2TmSe3
_symmetry_space_group_name_H-M 'P 1'
_symmetry_Int_Tables_number 1
_cell_length_a 14.151
_cell_length_b 13.492
_cell_length_c 7.523
_cell_angle_alpha 79.10
_cell_angle_beta 69.43
_cell_angle_gamma 31.47
loop_
_symmetry_equiv_pos_as_xyz
'x,y,z'
loop_
_atom_site_label
_atom_site_fract_x
_atom_site_fract_y
_atom_site_fract_z
_atom_site_occupancy
Ac1 0.046 0.046 0.204 1
Ac2 0.122 0.122 0.628 1
Ac3 0.204 0.204 0.046 1
Ac4 0.372 0.372 0.878 1
Ac5 0.628 0.628 0.122 1
Ac6 0.796 0.796 0.954 1
Ac7 0.878 0.878 0.372 1
Ac8 0.954 0.954 0.796 1
Tm1 0.292 0.292 0.458 1
Tm2 0.458 0.458 0.292 1
Tm3 0.542 0.542 0.708 1
Tm4 0.708 0.708 0.542 1
Se1 0.035 0.538 0.240 1
Se2 0.155 0.595 0.595 1
Se3 0.240 0.687 0.035 1
Se4 0.313 0.760 0.462 1
Se5 0.405 0.845 0.845 1
Se6 0.462 0.965 0.313 1
Se7 0.538 0.035 0.687 1
Se8 0.595 0.155 0.155 1
Se9 0.687 0.240 0.538 1
Se10 0.760 0.313 0.965 1
Se11 0.845 0.405 0.405 1
Se12 0.965 0.462 0.760 1
```

***

No. 6
Computed, not measured: a relaxed structure of AcAlGeI at the PBE level of DFT.

Results
The value obtained for the total energy is -4.31 eV per atom.

The structure in CIF format:
```
data_AcAlGeI
_symmetry_space_group_name_H-M 'P 1'
_symmetry_Int_Tables_number 1
_cell_length_a 15.525
_cell_length_b 15.525
_cell_length_c 15.525
_cell_angle_alpha 16.57
_cell_angle_beta 16.57
_cell_angle_gamma 16.57
loop_
_symmetry_equiv_pos_as_xyz
'x,y,z'
loop_
_atom_site_label
_atom_site_fract_x
_atom_site_fract_y
_atom_site_fract_z
_atom_site_occupancy
Ac1 0.075 0.075 0.075 1
Ac2 0.925 0.925 0.925 1
Al1 0.311 0.311 0.311 1
Al2 0.689 0.689 0.689 1
Ge1 0.367 0.367 0.367 1
Ge2 0.633 0.633 0.633 1
I1 0.210 0.210 0.210 1
I2 0.790 0.790 0.790 1
```

***

No. 7
Computed, not measured: a relaxed structure of ScReRu2N at the PBE level of DFT.

Results
The value obtained for the total energy is -9.15 eV per atom.

The structure in CIF format:
```
data_ScReRu2N
_symmetry_space_group_name_H-M 'P 1'
_symmetry_Int_Tables_number 1
_cell_length_a 4.015
_cell_length_b 4.015
_cell_length_c 4.247
_cell_angle_alpha 90.00
_cell_angle_beta 90.00
_cell_angle_gamma 90.00
loop_
_symmetry_equiv_pos_as_xyz
'x,y,z'
loop_
_atom_site_label
_atom_site_fract_x
_atom_site_fract_y
_atom_site_fract_z
_atom_site_occupancy
Sc1 0.000 0.000 0.000 1
Re1 0.500 0.500 0.000 1
Ru1 0.000 0.500 0.500 1
Ru2 0.500 0.000 0.500 1
N1 0.000 0.000 0.500 1
```

***

No. 8
Computed, not measured: a relaxed structure of Ac6Pt2Rh at the PBE level of DFT.

Results
As for the formation energy: -0.705 eV/atom. The value obtained for the total energy is -5.60 eV per atom.

The structure in CIF format:
```
data_Ac6Pt2Rh
_symmetry_space_group_name_H-M 'P 1'
_symmetry_Int_Tables_number 1
_cell_length_a 7.183
_cell_length_b 7.183
_cell_length_c 10.961
_cell_angle_alpha 92.49
_cell_angle_beta 92.49
_cell_angle_gamma 33.81
loop_
_symmetry_equiv_pos_as_xyz
'x,y,z'
loop_
_atom_site_label
_atom_site_fract_x
_atom_site_fract_y
_atom_site_fract_z
_atom_site_occupancy
Ac1 0.088 0.088 0.257 1
Ac2 0.359 0.359 0.403 1
Ac3 0.364 0.364 0.052 1
Ac4 0.636 0.636 0.948 1
Ac5 0.641 0.641 0.597 1
Ac6 0.912 0.912 0.743 1
Pt1 0.245 0.245 0.796 1
Pt2 0.755 0.755 0.204 1
Rh1 0.000 0.000 0.500 1
```

***

No. 9
Computed, not measured: a relaxed structure of TbAl6Pd4 at the PBE level of DFT.

Results
As for the formation energy: -0.789 eV/atom. The value obtained for the total energy is -5.14 eV per atom.

The structure in CIF format:
```
data_TbAl6Pd4
_symmetry_space_group_name_H-M 'P 1'
_symmetry_Int_Tables_number 1
_cell_length_a 7.266
_cell_length_b 7.266
_cell_length_c 4.070
_cell_angle_alpha 90.00
_cell_angle_beta 90.00
_cell_angle_gamma 120.00
loop_
_symmetry_equiv_pos_as_xyz
'x,y,z'
loop_
_atom_site_label
_atom_site_fract_x
_atom_site_fract_y
_atom_site_fract_z
_atom_site_occupancy
Tb1 0.000 0.000 0.000 1
Al1 0.200 0.400 0.500 1
Al2 0.200 0.800 0.500 1
Al3 0.534 0.069 0.000 1
Al4 0.534 0.466 0.000 1
Al5 0.600 0.800 0.500 1
Al6 0.931 0.466 0.000 1
Pd1 0.333 0.667 0.000 1
Pd2 0.402 0.201 0.500 1
Pd3 0.799 0.201 0.500 1
Pd4 0.799 0.598 0.500 1
```

***

No. 10
Computed, not measured: a relaxed structure of Zr2CdHg at the PBE level of DFT.

Results
As for the formation energy: -0.049 eV/atom. The value obtained for the total energy is -4.63 eV per atom.

The structure in CIF format:
```
data_Zr2CdHg
_symmetry_space_group_name_H-M 'P 1'
_symmetry_Int_Tables_number 1
_cell_length_a 3.328
_cell_length_b 3.328
_cell_length_c 29.134
_cell_angle_alpha 90.00
_cell_angle_beta 90.00
_cell_angle_gamma 120.00
loop_
_symmetry_equiv_pos_as_xyz
'x,y,z'
loop_
_atom_site_label
_atom_site_fract_x
_atom_site_fract_y
_atom_site_fract_z
_atom_site_occupancy
Zr1 0.000 0.000 0.000 1
Zr2 0.000 0.000 0.251 1
Zr3 0.333 0.667 0.667 1
Zr4 0.333 0.667 0.918 1
Zr5 0.667 0.333 0.333 1
Zr6 0.667 0.333 0.584 1
Cd1 0.000 0.000 0.499 1
Cd2 0.333 0.667 0.165 1
Cd3 0.667 0.333 0.832 1
Hg1 0.000 0.000 0.749 1
Hg2 0.333 0.667 0.416 1
Hg3 0.667 0.333 0.083 1
```